MnGaBrF2: optimized geometry, GGA+U.

Calculated values
- raw total energy (eV per atom) = -4.87
- DOS at the Fermi energy (states/eV/f.u.) = 0.000
- calculated density (kg/m³) = 3971
- V (A^3/atom) = 20.28

Structure (POSCAR):
```
MnGaBrF2
1.0
4.241 0.000 0.000
0.000 4.241 0.000
0.000 0.000 5.639
F Ga Br Mn
2 1 1 1
direct
0.000 0.500 0.000
0.500 0.000 0.000
0.500 0.500 0.500
0.000 0.000 0.500
0.000 0.000 0.000
```